# 1
Compound: ZrGaSb3
Source: Alexandria
Functional: GGA-PBEsol
Structure: relaxed

Structure (POSCAR):
```
ZrGaSb3
1.0
5.122 0.000 0.000
0.000 5.122 0.000
0.000 0.000 5.122
Zr Ga Sb
1 1 3
direct
0.000 0.000 0.000 Zr
0.500 0.500 0.500 Ga
0.000 0.500 0.500 Sb
0.500 0.000 0.500 Sb
0.500 0.500 0.000 Sb
```

- Symmetry: Pm-3m
- E_tot: -4.58 eV per atom
- Formation energy (no corrections): 643.8 meV per atom



# 2
Compound: KAl4Tl
Source: Alexandria
Functional: GGA-PBEsol
Structure: relaxed

Structure (POSCAR):
```
KAl4Tl
1.0
0.000 4.066 4.066
4.066 0.000 4.066
4.066 4.066 0.000
K Al Tl
1 4 1
direct
0.000 0.000 0.000 K
0.124 0.625 0.625 Al
0.625 0.124 0.625 Al
0.625 0.625 0.124 Al
0.625 0.625 0.625 Al
0.250 0.250 0.250 Tl
```

- E_form: 1.207 eV per formula unit
- Symmetry: F-43m
- E_tot: -3.15 eV per atom



# 3
Compound: MgFePt
Source: Alexandria
Functional: GGA-PBEsol
Structure: relaxed

Structure (POSCAR):
```
MgFePt
1.0
-1.389 1.904 4.097
1.389 -1.904 4.097
1.389 1.904 -4.097
Mg Fe Pt
1 1 1
direct
0.000 0.000 0.000 Mg
0.324 0.324 0.000 Fe
0.670 0.670 0.000 Pt
```

- E_form: -0.605 eV per formula unit
- Symmetry: Imm2
- E_tot: -6.08 eV per atom



# 4
Compound: KBaTe2
Source: Alexandria
Functional: GGA-PBEsol
Structure: relaxed

Structure (POSCAR):
```
KBaTe2
1.0
-4.559 4.559 3.643
4.559 -4.559 3.643
4.559 4.559 -3.643
K Ba Te
2 2 4
direct
0.000 0.000 0.000 K
0.750 0.250 0.500 K
0.250 0.750 0.500 Ba
0.500 0.500 0.000 Ba
0.121 0.125 0.496 Te
0.375 0.879 0.004 Te
0.629 0.625 0.504 Te
0.875 0.371 0.996 Te
```

- Symmetry: I-42d
- E_tot: -3.63 eV per atom
- Formation energy (no corrections): -1048.2 meV per atom



# 5
Compound: CsIrSe2N
Source: Alexandria
Functional: GGA-PBEsol
Structure: relaxed

Structure (POSCAR):
```
CsIrSe2N
1.0
5.446 0.000 0.000
0.000 5.446 0.000
0.000 0.000 3.690
Cs Ir Se N
1 1 2 1
direct
0.000 0.000 0.000 Cs
0.500 0.500 0.500 Ir
0.000 0.500 0.500 Se
0.500 0.000 0.500 Se
0.500 0.500 0.000 N
```

- Symmetry: P4/mmm
- E_tot: -5.29 eV per atom
- Formation energy (no corrections): 104.2 meV per atom
- Relative energy among the computed polymorphs: 0.0 meV per atom



# 6
Compound: LiSO2F
Source: Alexandria
Functional: GGA-PBEsol
Structure: relaxed

Structure (POSCAR):
```
LiSO2F
1.0
4.392 0.000 0.000
0.000 4.392 0.000
0.000 0.000 3.681
Li S O F
1 1 2 1
direct
0.000 0.000 0.000 Li
0.500 0.500 0.000 S
0.000 0.500 0.500 O
0.500 0.000 0.500 O
0.500 0.500 0.500 F
```

- Symmetry: P4/mmm
- E_tot: -3.22 eV per atom
- Formation energy (no corrections): 531.2 meV per atom



# 7
Compound: AgGeBF2
Source: Alexandria
Functional: GGA-PBEsol
Structure: relaxed

Structure (POSCAR):
```
AgGeBF2
1.0
3.667 0.000 0.000
0.000 3.667 0.000
0.000 0.000 4.746
Ag Ge B F
1 1 1 2
direct
0.000 0.000 0.000 Ag
0.500 0.500 0.000 Ge
0.000 0.000 0.500 B
0.000 0.500 0.500 F
0.500 0.000 0.500 F
```

- Symmetry: P4/mmm
- E_tot: -4.04 eV per atom
- Formation energy (no corrections): -216.7 meV per atom



# 8
Compound: ErAlSi
Source: Alexandria
Functional: GGA-PBEsol
Structure: relaxed

Structure (POSCAR):
```
ErAlSi
1.0
-2.005 2.005 7.211
2.005 -2.005 7.211
2.005 2.005 -7.211
Er Al Si
2 2 2
direct
0.000 0.000 0.000 Er
0.750 0.250 0.500 Er
0.334 0.834 0.500 Al
0.584 0.584 0.000 Al
0.171 0.671 0.500 Si
0.421 0.421 0.000 Si
```

- Symmetry: I4_1md
- E_tot: -5.52 eV per atom
- Formation energy (no corrections): -593.3 meV per atom



# 9
Compound: SrMg2PtSe
Source: Alexandria
Functional: GGA-PBEsol
Structure: relaxed

Structure (POSCAR):
```
SrMg2PtSe
1.0
6.038 0.000 0.000
0.000 6.038 0.000
0.000 0.000 5.038
Sr Mg Pt Se
1 2 1 1
direct
0.000 0.000 0.000 Sr
0.000 0.500 0.000 Mg
0.500 0.000 0.000 Mg
0.000 0.000 0.500 Pt
0.500 0.500 0.500 Se
```

- Symmetry: P4/mmm
- E_tot: -2.08 eV per atom
- Formation energy (no corrections): 1140.2 meV per atom



# 10
Compound: LiMoW
Source: Alexandria
Functional: GGA-PBEsol
Structure: relaxed

Structure (POSCAR):
```
LiMoW
1.0
0.000 2.152 7.010
1.533 0.000 7.010
1.533 2.152 0.000
Li Mo W
1 1 1
direct
0.000 0.000 0.000 Li
0.671 0.671 0.329 Mo
0.331 0.331 0.669 W
```

- E_form: 1.114 eV per formula unit
- Symmetry: Fmm2
- E_tot: -8.81 eV per atom
- Relative energy among the computed polymorphs: 0.0 meV per atom



# 11
Compound: ScNi2Te
Source: Alexandria
Functional: GGA-PBEsol
Structure: relaxed

Structure (POSCAR):
```
ScNi2Te
1.0
0.000 3.105 3.105
3.105 0.000 3.105
3.105 3.105 0.000
Sc Ni Te
1 2 1
direct
0.000 0.000 0.000 Sc
0.250 0.250 0.250 Ni
0.750 0.750 0.750 Ni
0.500 0.500 0.500 Te
```

- Symmetry: Fm-3m
- E_tot: -6.00 eV per atom
- Formation energy (no corrections): -386.5 meV per atom



# 12
Compound: Ag3IO
Source: Alexandria
Functional: GGA-PBEsol
Structure: relaxed

Structure (POSCAR):
```
Ag3IO
1.0
5.198 0.000 0.000
0.000 5.198 0.000
0.000 0.000 5.198
Ag I O
3 1 1
direct
0.000 0.000 0.500 Ag
0.000 0.500 0.000 Ag
0.500 0.000 0.000 Ag
0.000 0.000 0.000 I
0.500 0.500 0.500 O
```

- Symmetry: Pm-3m
- E_tot: -2.21 eV per atom
- Formation energy (no corrections): 1181.8 meV per atom